## Cd2InSn3 (PBE-GGA)

Data for a geometry-optimized Cd2InSn3 structure.

**E_form**: 63 meV per atom
**DOS at the Fermi energy**: 2.12 states/eV/f.u.

a = 5.4742 Å, b = 7.3783 Å, c = 9.1501 Å
α = 92.75°, β = 72.58°, γ = 68.20°
Last column: nearest neighbours and their distance in Å.
Positions (direct):
Sn (0.4495, 0.6796, 0.4214)  3 Sn 3.03-3.25, 3 Cd 3.14-3.24, 2 In 3.24
Sn (0.5505, 0.3204, 0.5786)  3 Sn 3.03-3.25, 3 Cd 3.14-3.24, 2 In 3.24
Sn (0.1338, 0.9766, 0.7559)  4 Cd 2.99-3.26, 3 Sn 3.18-3.25
Sn (0.5317, 0.8337, 0.1030)  4 Sn 3.15-3.18, 4 Cd 3.21-3.31, 1 In 3.51
Sn (0.4683, 0.1663, 0.8970)  4 Sn 3.15-3.18, 4 Cd 3.21-3.31, 1 In 3.51
Sn (0.8662, 0.0234, 0.2441)  4 Cd 2.99-3.26, 3 Sn 3.18-3.25
Cd (0.2133, 0.6413, 0.9321)  4 Sn 2.99-3.28, 3 In 3.15-3.24
Cd (0.2051, 0.1554, 0.4345)  2 In 3.04-3.27, 7 Sn 3.14-3.31
Cd (0.7949, 0.8446, 0.5655)  2 In 3.04-3.27, 7 Sn 3.14-3.31
Cd (0.7867, 0.3587, 0.0679)  4 Sn 2.99-3.28, 3 In 3.15-3.24
In (0.1242, 0.4971, 0.2545)  5 Cd 3.04-3.27, 2 Sn 3.24
In (0.8758, 0.5029, 0.7455)  5 Cd 3.04-3.27, 2 Sn 3.24



## Ga2H2Au (PBE-GGA)

Data for a geometry-optimized Ga2H2Au structure.

**Relative energy among the computed polymorphs**: 0.91 eV per formula unit
**DOS at the Fermi energy**: 1.24 states/eV/f.u.

a = 6.9750 Å, b = 6.9750 Å, c = 2.7814 Å
α = 90.00°, β = 90.00°, γ = 90.00°
Last column: nearest neighbours and their distance in Å.
Positions (direct):
Ga (0.1357, 0.3643, 0.0000)  4 H 2.19
Ga (0.3643, 0.8643, 0.0000)  4 H 2.19
Ga (0.8643, 0.6357, 0.0000)  4 H 2.19
Ga (0.6357, 0.1357, 0.0000)  4 H 2.19
H (0.1045, 0.6045, 0.5000)  1 H 2.06, 4 Ga 2.19
H (0.8955, 0.3955, 0.5000)  1 H 2.06, 4 Ga 2.19
H (0.3955, 0.1045, 0.5000)  1 H 2.06, 4 Ga 2.19
H (0.6045, 0.8955, 0.5000)  1 H 2.06, 4 Ga 2.19
Au (0.0000, 0.0000, 0.0000)  4 Ga 2.71, 2 Au 2.78
Au (0.5000, 0.5000, 0.0000)  4 Ga 2.71, 2 Au 2.78



## LiTa2Pt (PBE-GGA)

Data for a geometry-optimized LiTa2Pt structure.

**E_form**: 30 meV per atom
**DOS at the Fermi energy**: 2.89 states/eV/f.u.

a = 10.0947 Å, b = 10.0947 Å, c = 10.0947 Å
α = 16.17°, β = 16.17°, γ = 16.17°
Last column: nearest neighbours and their distance in Å.
Positions (direct):
Pt (0.7500, 0.7500, 0.7500)  6 Pt 2.84, 6 Ta 2.87
Ta (0.0044, 0.0044, 0.0044)  6 Ta 2.84, 3 Pt 2.87, 3 Li 3.09
Ta (0.4956, 0.4956, 0.4956)  6 Ta 2.84, 3 Pt 2.87, 3 Li 3.09
Li (0.2500, 0.2500, 0.2500)  6 Li 2.84, 6 Ta 3.09



## ScBeW (PBE-GGA)

Data for a geometry-optimized ScBeW structure.

**Relative energy among the computed polymorphs**: 0.27 eV per formula unit
**E_form**: 112 meV per atom
**DOS at the Fermi energy**: 1.75 states/eV/f.u.

a = 5.9242 Å, b = 5.1672 Å, c = 8.3509 Å
α = 90.00°, β = 133.73°, γ = 90.00°
Last column: nearest neighbours and their distance in Å.
Positions (direct):
Sc (0.3501, 0.5000, 0.8366)  4 Be 2.55-2.65, 1 W 2.72
Sc (0.0546, 0.5000, 0.0374)  4 Be 2.69-2.73, 3 W 2.76-2.96
Sc (0.0546, 0.0000, 0.5374)  4 Be 2.69-2.73, 3 W 2.76-2.96
Sc (0.3501, 0.0000, 0.3366)  4 Be 2.55-2.65, 1 W 2.72
W (0.9994, 0.5000, 0.3396)  4 Be 2.51-2.59, 1 W 2.61, 1 Sc 2.76
W (0.7204, 0.5000, 0.4803)  4 Be 2.58-2.59, 1 W 2.61, 1 Sc 2.72
W (0.9994, 0.0000, 0.8396)  4 Be 2.51-2.59, 1 W 2.61, 1 Sc 2.76
W (0.7204, 0.0000, 0.9803)  4 Be 2.58-2.59, 1 W 2.61, 1 Sc 2.72
Be (0.5374, 0.2107, 0.1562)  1 Be 2.18
Be (0.5374, 0.7107, 0.6562)  1 Be 2.18
Be (0.5374, 0.2893, 0.6562)  1 Be 2.18
Be (0.5374, 0.7893, 0.1562)  1 Be 2.18